Record 1
The following is a PBE-GGA calculation of a relaxed YZr2Sc6 crystal, from Alexandria via LeMat-Bulk.

Summary:
As for the formation energy from the elements: 81 meV per atom. For the size of the total moment, the calculation gives 0.0 μB/f.u. For the density of states at the Fermi level, the calculation gives 26.6 states/eV/cell.

Lattice parameters (Å, degrees): 6.0127 8.8693 8.8693 99.94 99.34 99.34
Last column: nearest neighbours and their distance in Å.
Fractional coordinates of all 18 atoms:
Y: 0.2500 0.8978 0.1022  10 Sc 3.23-3.45
Y: 0.7500 0.1022 0.8978  10 Sc 3.23-3.45
Zr: 0.1344 0.3820 0.3448  7 Sc 3.01-3.28, 3 Zr 3.05-3.08
Zr: 0.3656 0.6552 0.6180  7 Sc 3.01-3.28, 3 Zr 3.05-3.08
Zr: 0.8656 0.6180 0.6552  7 Sc 3.01-3.28, 3 Zr 3.05-3.08
Zr: 0.6344 0.3448 0.3820  7 Sc 3.01-3.28, 3 Zr 3.05-3.08
Sc: 0.5258 0.3689 0.7345  3 Zr 3.01-3.27, 5 Sc 3.15-3.23, 1 Y 3.33
Sc: 0.9742 0.2655 0.6311  3 Zr 3.01-3.27, 5 Sc 3.15-3.23, 1 Y 3.33
Sc: 0.4742 0.6311 0.2655  3 Zr 3.01-3.27, 5 Sc 3.15-3.23, 1 Y 3.33
Sc: 0.0258 0.7345 0.3689  3 Zr 3.01-3.27, 5 Sc 3.15-3.23, 1 Y 3.33
Sc: 0.6942 0.9191 0.5401  6 Sc 2.99-3.18, 2 Zr 3.06-3.28, 1 Y 3.24
Sc: 0.8058 0.4599 0.0809  6 Sc 2.99-3.18, 2 Zr 3.06-3.28, 1 Y 3.24
Sc: 0.3058 0.0809 0.4599  6 Sc 2.99-3.18, 2 Zr 3.06-3.28, 1 Y 3.24
Sc: 0.1942 0.5401 0.9191  6 Sc 2.99-3.18, 2 Zr 3.06-3.28, 1 Y 3.24
Sc: 0.3183 0.2525 0.0480  5 Sc 3.12-3.47, 2 Zr 3.13-3.14, 3 Y 3.23-3.45
Sc: 0.1817 0.9520 0.7475  5 Sc 3.12-3.47, 2 Zr 3.13-3.14, 3 Y 3.23-3.45
Sc: 0.6817 0.7475 0.9520  5 Sc 3.12-3.47, 2 Zr 3.13-3.14, 3 Y 3.23-3.45
Sc: 0.8183 0.0480 0.2525  5 Sc 3.12-3.47, 2 Zr 3.13-3.14, 3 Y 3.23-3.45

***

Record 2
The following is a PBE-GGA calculation of a relaxed Nb2VRh crystal, from Alexandria via LeMat-Bulk.

Summary:
As for the formation energy from the elements: -174 meV per atom. For the size of the total moment, the calculation gives 0.0 μB/f.u. For the density of states at the Fermi level, the calculation gives 4.0 states/eV/cell.

Lattice parameters (Å, degrees): 4.4915 4.4915 4.4915 60.00 60.00 60.00
Last column: nearest neighbours and their distance in Å.
Fractional coordinates of all 4 atoms:
Nb: 0.2500 0.2500 0.2500  4 Rh 2.75, 4 V 2.75
Nb: 0.7500 0.7500 0.7500  4 Rh 2.75, 4 V 2.75
Rh: 0.5000 0.5000 0.5000  8 Nb 2.75
V: 0.0000 0.0000 0.0000  8 Nb 2.75

***

Record 3
The following is a PBE-GGA calculation of a relaxed MgSc5Au4 crystal, from Alexandria via LeMat-Bulk.

Summary:
As for the formation energy from the elements: -656 meV per atom. For the size of the total moment, the calculation gives 0.0 μB/f.u. For the density of states at the Fermi level, the calculation gives 7.9 states/eV/cell.

Lattice parameters (Å, degrees): 3.4330 3.4330 17.2323 90.00 90.00 90.00
Last column: nearest neighbours and their distance in Å.
Fractional coordinates of all 10 atoms:
Mg: 0.0000 0.0000 0.0000  8 Sc 3.09, 4 Mg 3.43
Sc: 0.5000 0.5000 0.1109  4 Au 2.89, 4 Mg 3.09
Sc: 0.5000 0.5000 0.3042  8 Au 2.95-3.00
Sc: 0.5000 0.5000 0.5000  8 Au 2.97
Sc: 0.5000 0.5000 0.6958  8 Au 2.95-3.00
Sc: 0.5000 0.5000 0.8891  4 Au 2.89, 4 Mg 3.09
Au: 0.0000 0.0000 0.2021  8 Sc 2.89-3.00
Au: 0.0000 0.0000 0.4012  8 Sc 2.95-2.97
Au: 0.0000 0.0000 0.5988  8 Sc 2.95-2.97
Au: 0.0000 0.0000 0.7979  8 Sc 2.89-3.00

***

Record 4
The following is a PBE-GGA calculation of a relaxed Na3Ag4F8 crystal, from Alexandria via LeMat-Bulk.

Summary:
The value obtained for the uncorrected formation energy is -1695 meV per atom. For the size of the total moment, the calculation gives 0.6 μB/f.u. For the density of states at the Fermi level, the calculation gives 8.7 states/eV/cell.

Lattice parameters (Å, degrees): 6.8433 6.8368 6.8368 92.92 118.72 118.72
Last column: nearest neighbours and their distance in Å.
Fractional coordinates of all 15 atoms:
Na: 0.5000 0.5000 0.0000  6 F 2.36-2.49
Na: 0.5000 0.0000 0.5000  6 F 2.36-2.49
Na: 0.5000 0.5000 0.5000  6 F 2.33-2.36
Ag: 0.5000 0.0000 0.0000  6 F 2.37-2.62
Ag: 0.0000 0.5000 0.0000  6 F 2.36-2.48
Ag: 0.0000 0.0000 0.0000  4 F 2.25-2.26
Ag: 0.0000 0.0000 0.5000  6 F 2.36-2.48
F: 0.4586 0.2299 0.2299  2 Ag 2.25-2.37, 3 Na 2.36-2.49
F: 0.0000 0.7457 0.2543  3 Ag 2.36-2.52, 2 Na 2.45
F: 0.0250 0.2525 0.2525  3 Ag 2.26-2.48, 1 Na 2.33
F: 0.5000 0.7353 0.2647  3 Na 2.33-2.36, 2 Ag 2.46
F: 0.5000 0.2647 0.7353  3 Na 2.33-2.36, 2 Ag 2.46
F: 0.9750 0.7475 0.7475  3 Ag 2.26-2.48, 1 Na 2.33
F: 0.0000 0.2543 0.7457  3 Ag 2.36-2.52, 2 Na 2.45
F: 0.5414 0.7701 0.7701  2 Ag 2.25-2.37, 3 Na 2.36-2.49

***

Record 5
The following is a PBE-GGA calculation of a relaxed Ce2SmErSe4 crystal, from Alexandria via LeMat-Bulk.

Summary:
The value obtained for the uncorrected formation energy is -1794 meV per atom. For the size of the total moment, the calculation gives 0.1 μB/f.u. For the density of states at the Fermi level, the calculation gives 13.5 states/eV/cell.

Lattice parameters (Å, degrees): 4.1295 7.1925 7.2266 109.15 90.00 90.00
Last column: nearest neighbours and their distance in Å.
Fractional coordinates of all 8 atoms:
Ce: 0.5000 0.0000 0.5000  6 Se 2.95
Ce: 0.0000 0.5000 0.5000  6 Se 3.00
Sm: 0.5000 0.5000 0.0000  6 Se 2.93
Er: 0.0000 0.0000 0.0000  6 Se 2.87
Se: 0.5000 0.2402 0.2384  2 Er 2.87, 1 Sm 2.93, 3 Ce 2.95-3.00
Se: 0.5000 0.7598 0.7616  2 Er 2.87, 1 Sm 2.93, 3 Ce 2.95-3.00
Se: 0.0000 0.2464 0.7571  1 Er 2.87, 2 Sm 2.93, 3 Ce 2.95-3.00
Se: 0.0000 0.7536 0.2429  1 Er 2.87, 2 Sm 2.93, 3 Ce 2.95-3.00

***

Record 6
The following is a PBE-GGA calculation of a relaxed La2Zn4Ag5 crystal, from Alexandria via LeMat-Bulk.

Summary:
As for the formation energy from the elements: -142 meV per atom. For the size of the total moment, the calculation gives 0.0 μB/f.u. For the density of states at the Fermi level, the calculation gives 6.3 states/eV/cell.

Lattice parameters (Å, degrees): 5.7093 7.2557 6.9740 72.15 65.84 66.83
Last column: nearest neighbours and their distance in Å.
Fractional coordinates of all 11 atoms:
La: 0.2874 0.7645 0.6608  6 Zn 3.16-3.44, 4 Ag 3.45-3.52
La: 0.7126 0.2355 0.3392  6 Zn 3.16-3.44, 4 Ag 3.45-3.52
Zn: 0.3540 0.0788 0.2133  1 Zn 2.45, 2 Ag 2.58
Zn: 0.6460 0.9212 0.7867  1 Zn 2.45, 2 Ag 2.58
Zn: 0.7705 0.5517 0.9073  1 Zn 2.45, 3 Ag 2.67
Zn: 0.2295 0.4483 0.0927  1 Zn 2.45, 3 Ag 2.67
Ag: 0.2135 0.2304 0.8322  4 Zn 2.58-2.86, 2 Ag 2.79-2.89
Ag: 0.7865 0.7696 0.1678  4 Zn 2.58-2.86, 2 Ag 2.79-2.89
Ag: 0.0000 0.5000 0.5000  2 Zn 2.67, 4 Ag 2.89
Ag: 0.7240 0.2304 0.8322  4 Zn 2.58-2.86, 2 Ag 2.79-2.89
Ag: 0.2760 0.7696 0.1678  4 Zn 2.58-2.86, 2 Ag 2.79-2.89

***

Number 1: DFT total energy -6.758 eV per atom. Number 2: DFT total energy -9.326 eV per atom. Number 3: DFT total energy -5.292 eV per atom. Number 4: DFT total energy -3.717 eV per atom. Number 5: DFT total energy -6.180 eV per atom. Number 6: DFT total energy -2.798 eV per atom.